# 1
Here is an optimized crystal structure of GdY2Al7Ag2 from OQMD via LeMat-Bulk. Energies are from PBE.

```
GdY2Al7Ag2
1.0
2.779 1.605 8.785
-2.779 1.605 8.785
0.000 -3.209 8.785
Ag Al Gd Y
2 7 1 2
Cartesian
0.000 0.000 8.845
0.000 0.000 17.512
0.000 1.642 10.990
1.422 0.821 15.366
-1.422 0.821 15.366
0.000 0.000 13.178
1.422 -0.821 10.990
-1.422 -0.821 10.990
0.000 -1.642 15.366
0.000 0.000 0.000
0.000 0.000 3.742
0.000 0.000 22.614
```

Results
final energy = -55.10 eV/cell
total magnetic moment = 0.00 Bohr magnetons per cell

***

# 2
Here is an optimized crystal structure of SmTaOs from OQMD via LeMat-Bulk. Energies are from PBE.

```
SmTaOs
1.0
0.264 -3.409 3.014
-0.679 0.819 4.432
-3.774 -1.529 2.048
Os Sm Ta
1 1 1
Cartesian
-1.047 -1.030 2.373
0.000 0.000 0.000
-3.142 -3.089 7.120
```

Results
total magnetic moment = 0.00 Bohr magnetons per cell
formation energy = 1.57 eV per atom

***

# 3
Here is an optimized crystal structure of LuAgGeTe2S from OQMD via LeMat-Bulk. Energies are from PBE.

```
LuAgGeTe2S
1.0
2.109 -7.285 0.000
2.109 7.285 0.000
0.000 0.000 9.872
Ag Ge Lu S Te
2 2 2 2 4
Cartesian
2.109 0.223 2.468
2.109 -0.223 7.404
2.109 -3.843 2.468
2.109 3.843 7.404
0.000 0.000 0.000
0.000 0.000 4.936
2.109 6.134 2.468
2.109 -6.134 7.404
2.109 2.239 0.503
2.109 2.239 4.433
2.109 -2.239 5.439
2.109 -2.239 9.369
```

Results
final energy = -51.57 eV/cell
total magnetic moment = 0.01 Bohr magnetons per cell

***

# 4
Here is an optimized crystal structure of Cu2HgI4 from OQMD via LeMat-Bulk. Energies are from PBE.

```
Cu2HgI4
1.0
-3.640 -4.040 2.841
-0.252 -3.354 -5.092
5.208 -3.245 1.879
Cu Hg I
2 1 4
Cartesian
2.477 -3.311 -1.625
0.532 -6.993 -2.728
-0.250 -3.333 -5.060
-1.455 -6.266 -1.164
0.374 -2.836 -0.114
1.059 -6.249 2.100
2.653 -5.937 -1.584
```

Results
final energy = -15.45 eV/cell

***

# 5
Here is an optimized crystal structure of ZnNiBPt from OQMD via LeMat-Bulk. Energies are from PBE.

```
ZnNiBPt
1.0
0.000 2.857 2.857
2.857 0.000 2.857
2.857 2.857 0.000
B Ni Pt Zn
1 1 1 1
Cartesian
0.000 0.000 0.000
4.285 4.285 4.285
1.428 1.428 1.428
2.857 2.857 2.857
```

Results
final energy = -18.94 eV/cell
total magnetic moment = 0.00 Bohr magnetons per cell

***

# 6
Here is an optimized crystal structure of Hf2In2Pd from OQMD via LeMat-Bulk. Energies are from PBE.

```
Hf2In2Pd
1.0
3.794 3.736 5.389
5.001 5.687 0.189
-6.529 -2.844 -2.583
Hf In Pd
2 2 1
Cartesian
0.831 2.802 2.797
1.435 3.777 0.197
3.578 3.833 2.269
5.218 5.590 3.309
0.000 0.000 0.000
```

Results
final energy = -28.86 eV/cell
total magnetic moment = 0.01 Bohr magnetons per cell

***

Which formula does entry 6 have?
Hf2In2Pd